Tl2Pb2Cl7 (GGA-PBE, optimized geometry); excess energy over the best structure of this formula in the dataset = 18.1 meV/atom
1.0
6.9563 -0.0033 -0.3025
0.0028 7.3817 0.0037
-0.7353 -0.0024 6.9239
Tl Cl Pb
2 7 2
Direct
0.2335 0.5000 0.2335 Tl
0.7665 0.5000 0.7665 Tl
0.5002 0.7622 0.4998 Cl
0.5003 0.7520 0.9998 Cl
0.0002 0.7520 0.4997 Cl
0.0000 0.0000 0.0000 Cl
0.9998 0.2480 0.5003 Cl
0.4998 0.2378 0.5002 Cl
0.4997 0.2480 0.0002 Cl
0.2727 0.9999 0.7273 Pb
0.7273 0.0001 0.2727 Pb